--- w ---
! MgBrNF2 | Alexandria | PBE | relaxed; values from VASP
! * crystal system: tetragonal
! * Fermi-level density of states: 3.15 states/eV/cell
! * space group: P4/mmm
! * V: 17.286 Å³ per atom
&SYSTEM
  ibrav = 0, nat = 5, ntyp = 4
/
ATOMIC_SPECIES
Mg 24.30 Mg.upf
Br 79.90 Br.upf
N 14.01 N.upf
F 19.00 F.upf
CELL_PARAMETERS angstrom
4.8075 0.0000 0.0000
0.0000 4.8075 0.0000
0.0000 0.0000 3.7396
ATOMIC_POSITIONS crystal
Mg 0.0000 0.0000 0.0000
Br 0.5000 0.5000 0.5000
N 0.5000 0.5000 0.0000
F 0.0000 0.5000 0.5000
F 0.5000 0.0000 0.5000


--- x ---
! MgBrNF2 | Alexandria | PBE | relaxed; values from VASP
! * crystal system: tetragonal
! * Fermi-level density of states: 1.54 states/eV/cell
! * space group: P4/mmm
! * V: 17.506 Å³ per atom
&SYSTEM
  ibrav = 0, nat = 5, ntyp = 4
/
ATOMIC_SPECIES
Mg 24.30 Mg.upf
Br 79.90 Br.upf
N 14.01 N.upf
F 19.00 F.upf
CELL_PARAMETERS angstrom
3.6762 0.0000 0.0000
0.0000 3.6762 0.0000
0.0000 0.0000 6.4766
ATOMIC_POSITIONS crystal
Mg 0.0000 0.0000 0.0000
Br 0.5000 0.5000 0.5000
N 0.0000 0.0000 0.5000
F 0.0000 0.5000 0.0000
F 0.5000 0.0000 0.0000


Which structure loses on stability? w does.